No. 1
# Sc2SnS6

Crystalline Sc2SnS6 at its relaxed geometry (PBE, Alexandria).

Cell: 6.7844 6.7062 8.3334 Å, 90.00 100.98 90.00°
Last column: nearest neighbours and their distance in Å.
Sites, in units of the cell vectors:
Sc1 0.9631 0.3394 0.7984  5 S 2.51-2.74
Sc2 0.5369 0.8394 0.7016  5 S 2.51-2.74
Sc3 0.4631 0.1606 0.2984  5 S 2.51-2.74
Sc4 0.0369 0.6606 0.2016  5 S 2.51-2.74
Sn1 0.5000 0.5000 0.0000  6 S 2.72-2.98
Sn2 0.0000 0.0000 0.5000  6 S 2.72-2.98
S1 0.7831 0.9976 0.1895  1 S 2.14
S2 0.7904 0.6214 0.5509  1 S 2.14
S3 0.8329 0.6577 0.8988  3 Sc 2.51-2.64, 1 Sn 2.77
S4 0.6671 0.1577 0.6012  3 Sc 2.51-2.64, 1 Sn 2.77
S5 0.7096 0.1214 0.9491  1 S 2.14
S6 0.7169 0.4976 0.3105  1 S 2.14
S7 0.2169 0.0024 0.8105  1 S 2.14
S8 0.2096 0.3786 0.4491  1 S 2.14
S9 0.1671 0.3423 0.1012  3 Sc 2.51-2.64, 1 Sn 2.77
S10 0.3329 0.8423 0.3988  3 Sc 2.51-2.64, 1 Sn 2.77
S11 0.2904 0.8786 0.0509  1 S 2.14
S12 0.2831 0.5024 0.6895  1 S 2.14

Output
The space group is No. 14. The energy relative to the elements, uncorrected is -0.922 eV per atom. The density of states at the Fermi level comes out at 0.072 states/eV per atom.



No. 2
# PmZn2Ga3

Crystalline PmZn2Ga3 at its relaxed geometry (PBE, Alexandria).

Cell: 4.3470 7.9565 8.5968 Å, 54.62 75.36 74.15°
Last column: nearest neighbours and their distance in Å.
Sites, in units of the cell vectors:
Pm1 0.8520 0.1971 0.0989  8 Ga 3.00-3.36, 6 Zn 3.15-3.33
Pm2 0.1480 0.8029 0.9011  8 Ga 3.00-3.36, 6 Zn 3.15-3.33
Zn1 0.5168 0.1363 0.8302  1 Zn 2.42, 4 Ga 2.51-2.57
Zn2 0.4832 0.8637 0.1698  1 Zn 2.42, 4 Ga 2.51-2.57
Zn3 0.8193 0.6925 0.6689  7 Ga 2.57-2.84
Zn4 0.1807 0.3075 0.3311  7 Ga 2.57-2.84
Ga1 0.3590 0.4798 0.8022  3 Zn 2.51-2.57
Ga2 0.0069 0.3272 0.6591  1 Ga 2.52, 3 Zn 2.57-2.81
Ga3 0.6801 0.0932 0.5467  4 Zn 2.55-2.72
Ga4 0.3199 0.9068 0.4533  4 Zn 2.55-2.72
Ga5 0.9931 0.6728 0.3409  1 Ga 2.52, 3 Zn 2.57-2.81
Ga6 0.6410 0.5202 0.1978  3 Zn 2.51-2.57

Output
The space group is No. 12. The energy of formation comes out at -0.337 eV per atom. The density of states at the Fermi level comes out at 0.317 states/eV per atom. The value obtained for the energy above the most stable polymorph in this dataset is 3.8 kJ per mole of atoms.



No. 3
# RuW3

Crystalline RuW3 at its relaxed geometry (PBE, Alexandria).

Cell: 4.4607 4.4607 4.4607 Å, 60.00 60.00 60.00°
Last column: nearest neighbours and their distance in Å.
Sites, in units of the cell vectors:
Ru1 0.0000 0.0000 0.0000  8 W 2.73
W1 0.7500 0.7500 0.7500  4 Ru 2.73, 4 W 2.73
W2 0.5000 0.5000 0.5000  8 W 2.73
W3 0.2500 0.2500 0.2500  4 W 2.73, 4 Ru 2.73

Output
The space group is No. 225. The energy of formation comes out at 0.186 eV per atom. The density of states at the Fermi level comes out at 0.860 states/eV per atom.



No. 4
# Pm4SmCo

Crystalline Pm4SmCo at its relaxed geometry (PBE, Alexandria).

Cell: 4.7728 4.7724 8.9888 Å, 89.99 90.00 90.01°
Last column: nearest neighbours and their distance in Å.
Sites, in units of the cell vectors:
Pm1 0.5000 0.0000 0.3165  2 Co 2.90
Pm2 0.0000 0.5000 0.3165  2 Co 2.90
Pm3 0.0000 0.5000 0.6835  2 Co 2.90
Pm4 0.5000 0.0000 0.6835  2 Co 2.90
Sm1 0.0000 0.0000 0.0000  8 Pm 3.71
Co1 0.5000 0.5000 0.5000  8 Pm 2.90

Output
The space group is No. 123. The energy of formation comes out at 0.332 eV per atom. The density of states at the Fermi level comes out at 1.279 states/eV per atom. The value obtained for the energy above the most stable polymorph in this dataset is 31.0 kJ per mole of atoms.



No. 5
# PmHo8Er4

Crystalline PmHo8Er4 at its relaxed geometry (PBE, Alexandria).

Cell: 7.2386 7.2386 9.9084 Å, 90.00 111.43 120.00°
Last column: nearest neighbours and their distance in Å.
Sites, in units of the cell vectors:
Pm1 0.0000 0.5000 0.5000  6 Ho 2.92
Ho1 0.5641 0.7821 0.3462  9 Ho 3.65, 3 Er 3.75
Ho2 0.4359 0.2179 0.6538  9 Ho 3.65, 3 Er 3.75
Ho3 0.4989 0.2495 0.3035  1 Pm 2.92, 2 Ho 3.22
Ho4 0.9459 0.1954 0.6965  1 Pm 2.92, 2 Ho 3.22
Ho5 0.5011 0.7505 0.6965  1 Pm 2.92, 2 Ho 3.22
Ho6 0.9459 0.7505 0.6965  1 Pm 2.92, 2 Ho 3.22
Ho7 0.0541 0.2495 0.3035  1 Pm 2.92, 2 Ho 3.22
Ho8 0.0541 0.8046 0.3035  1 Pm 2.92, 2 Ho 3.22
Er1 0.0000 0.0000 0.0000  6 Ho 3.30, 6 Er 3.62
Er2 0.0000 0.5000 0.0000  6 Ho 3.51-3.75, 6 Er 3.62
Er3 0.5000 0.5000 0.0000  6 Ho 3.51-3.75, 6 Er 3.62
Er4 0.5000 0.0000 0.0000  6 Ho 3.51-3.75, 6 Er 3.62

Output
The space group is No. 166. The energy of formation comes out at 0.206 eV per atom. The density of states at the Fermi level comes out at 1.167 states/eV per atom.



No. 6
# H2AuS

Crystalline H2AuS at its relaxed geometry (PBE, Alexandria).

Cell: 5.2331 5.2331 5.2379 Å, 60.03 60.03 90.00°
Last column: nearest neighbours and their distance in Å.
Sites, in units of the cell vectors:
H1 0.3756 0.1250 0.2500  2 S 1.60
H2 0.3744 0.6250 0.2500  2 S 1.60
H3 0.3750 0.6244 0.7500  2 S 1.60
H4 0.8750 0.6256 0.7500  2 S 1.60
S1 0.5000 0.5000 0.0000  4 H 1.60
S2 0.2500 0.7500 0.5000  4 H 1.60
Au1 0.0000 0.0000 0.0000  12 H 3.07, 4 S 3.21, 4 Au 3.21
Au2 0.7500 0.2500 0.5000  12 H 3.07, 4 S 3.21, 4 Au 3.21

Output
The space group is No. 227. The density of states at the Fermi level comes out at 0.017 states/eV per atom. The value obtained for the energy above the most stable polymorph in this dataset is 0.0 kJ per mole of atoms.